[1]
A relaxed NpTl2PbF8 crystal. Source: the Alexandria database, functional GGA-PBE.

- Magnetic moment: 3.000 μB/cell
- Raw total energy: -5.684 eV/atom

```
NpTl2PbF8
1.0
-3.531 1.869 4.781
1.686 -5.058 3.222
5.413 4.484 -1.815
Np Tl Pb F
1 2 1 8
Cartesian
3.088 -1.085 2.704 Np
0.480 2.379 3.484 Tl
0.000 0.000 0.000 Tl
-0.923 -1.595 4.001 Pb
4.463 0.339 1.520 F
3.034 1.096 3.456 F
0.917 -0.310 2.618 F
-0.349 -1.327 6.560 F
2.104 3.887 1.678 F
1.599 -2.358 3.923 F
3.533 3.130 -0.257 F
-1.031 0.721 5.255 F
```

[2]
A relaxed PrF crystal. Source: the Alexandria database, functional GGA-PBE.

- Magnetic moment: 0.000 μB/cell
- Raw total energy: -5.623 eV/atom

```
PrF
1.0
4.189 0.000 -0.900
0.000 5.437 0.000
-1.319 0.000 4.082
Pr F
2 2
Cartesian
1.180 4.078 0.381 Pr
1.690 1.359 2.800 Pr
1.695 4.078 2.802 F
1.175 1.359 0.380 F
```

[3]
A relaxed Re5Se3 crystal. Source: the Alexandria database, functional GGA-PBE.

- Magnetic moment: 0.000 μB/cell
- Raw total energy: -8.430 eV/atom

```
Re5Se3
1.0
-3.051 -3.876 2.198
1.934 -1.698 -4.747
3.605 -1.668 2.065
Re Se
5 3
Cartesian
0.000 0.000 0.000 Re
0.967 -0.849 -2.374 Re
-1.526 -1.938 1.099 Re
1.543 -2.129 0.440 Re
0.945 -5.112 -0.925 Re
-0.559 -2.787 -1.275 Se
0.048 -4.143 1.423 Se
2.440 -3.098 -1.908 Se
```

[4]
A relaxed MgTaSe2 crystal. Source: the Alexandria database, functional GGA-PBE.

- Magnetic moment: 3.968 μB/cell
- Raw total energy: -5.305 eV/atom

```
MgTaSe2
1.0
6.059 0.000 0.000
0.000 6.059 0.000
3.030 3.030 5.712
Mg Se Ta
2 4 2
Cartesian
3.030 3.030 0.000 Mg
3.030 6.059 2.856 Mg
4.573 1.515 1.428 Se
1.486 4.544 1.428 Se
4.544 4.516 4.284 Se
7.574 7.602 4.284 Se
0.000 0.000 0.000 Ta
6.059 3.030 2.856 Ta
```

[5]
A relaxed La4YHg5 crystal. Source: the Alexandria database, functional GGA-PBE.

- Magnetic moment: 1.717 μB/cell
- Raw total energy: -3.266 eV/atom
- ΔE_f: -0.50 eV/atom

```
La4YHg5
1.0
3.861 0.000 0.000
0.000 3.861 0.000
0.000 0.000 19.505
La Y Hg
4 1 5
Cartesian
0.000 0.000 3.781 La
0.000 0.000 7.762 La
0.000 0.000 11.742 La
0.000 0.000 15.723 La
0.000 0.000 0.000 Y
1.930 1.930 1.728 Hg
1.930 1.930 5.786 Hg
1.930 1.930 9.752 Hg
1.930 1.930 13.718 Hg
1.930 1.930 17.777 Hg
```

[6]
A relaxed Ac3Pm2Tl4 crystal. Source: the Alexandria database, functional GGA-PBE.

- Magnetic moment: 0.000 μB/cell
- Raw total energy: -3.722 eV/atom
- ΔE_f: -0.25 eV/atom

```
Ac3Pm2Tl4
1.0
9.137 -0.061 -1.621
-0.126 9.785 0.262
-6.459 0.187 8.164
Ac Pm Tl
6 4 8
Cartesian
0.000 0.000 0.000 Ac
4.505 4.862 -0.680 Ac
1.000 7.876 4.134 Ac
5.360 2.913 2.575 Ac
1.551 2.035 2.670 Ac
-2.809 6.998 4.229 Ac
-0.150 5.909 1.475 Pm
2.702 4.002 5.329 Pm
-0.844 1.325 6.069 Pm
3.396 8.586 0.735 Pm
6.195 7.829 -0.771 Tl
7.493 3.007 -0.180 Tl
-3.643 2.082 7.575 Tl
-4.942 6.904 6.984 Tl
-1.780 0.289 2.978 Tl
4.332 9.623 3.826 Tl
-0.497 4.324 4.410 Tl
3.049 5.587 2.394 Tl
```

[7]
A relaxed LiHg2H2 crystal. Source: the Alexandria database, functional GGA-PBE.

- Magnetic moment: 0.000 μB/cell
- Raw total energy: -1.916 eV/atom

```
LiHg2H2
1.0
-0.983 -2.317 -1.839
2.944 -0.589 -0.847
2.814 -9.306 4.859
Li Hg H
1 2 2
Cartesian
0.000 0.000 0.000 Li
3.629 -9.577 2.118 Hg
1.147 -2.635 0.055 Hg
3.407 -7.812 0.025 H
1.369 -4.400 2.149 H
```

[8]
A relaxed TaBeTe2 crystal. Source: the Alexandria database, functional GGA-PBE.

- Magnetic moment: 0.000 μB/cell
- Raw total energy: -5.100 eV/atom

```
TaBeTe2
1.0
-2.175 0.628 2.593
-2.250 -2.231 -1.346
2.778 -4.926 3.522
Be Te Ta
1 2 1
Cartesian
-1.518 -2.033 1.504 Be
2.771 -4.915 3.514 Te
1.395 -2.475 1.770 Te
-0.129 -4.496 3.265 Ta
```